# 1
K2TaIn (GGA-PBEsol, relaxed); energy of formation from the pure elements = 1.19 eV/atom; total magnetization = 2.26 μB per cell; calculated total energy = -3.2639 eV/atom
1.0
-4.202 -1.122 3.181
2.868 -4.011 -2.190
3.169 -3.051 3.111
In K Ta
1 2 1
Cartesian
0.659 -5.136 3.623
0.000 0.000 0.000
1.176 -3.049 0.478
-0.516 -2.087 3.146

=====

# 2
K2TaIn (GGA-PBEsol, relaxed); energy of formation from the pure elements = 0.93 eV/atom; total magnetization = 0.70 μB per cell; calculated total energy = -3.5237 eV/atom
1.0
-2.454 1.240 1.122
-1.669 -1.680 -1.793
-0.475 -8.793 8.684
In K Ta
1 2 1
Cartesian
-2.299 -4.617 4.007
-0.356 -6.602 6.521
-0.118 -2.191 2.164
-2.062 -0.220 -0.335

=====

# 3
K2TaIn (GGA-PBEsol, relaxed); energy of formation from the pure elements = 0.92 eV/atom; total magnetization = 0.36 μB per cell; calculated total energy = -3.5257 eV/atom
1.0
2.953 0.014 0.000
-0.246 5.592 0.000
0.000 0.000 6.268
In K Ta
1 2 1
Cartesian
1.476 0.007 3.134
0.630 1.389 0.000
2.078 4.217 0.000
-0.123 2.796 3.134

=====

# 4
K2TaIn (GGA-PBEsol, relaxed); energy of formation from the pure elements = 0.93 eV/atom; total magnetization = 1.44 μB per cell; calculated total energy = -3.5199 eV/atom
1.0
-0.386 0.594 2.859
-6.205 -1.896 -0.445
5.088 -5.576 0.329
In K Ta
1 2 1
Cartesian
-2.309 -3.705 0.458
-1.609 -6.511 2.653
0.775 -3.066 2.259
-3.159 -1.124 1.324

=====

# 5
KInTc2 (GGA-PBEsol, relaxed); energy of formation from the pure elements = 1.27 eV/atom; total magnetization = 0.00 μB per cell; calculated total energy = -5.3951 eV/atom
1.0
2.803 0.000 0.000
0.000 5.052 0.000
0.000 0.000 5.183
In K Tc
1 1 2
Cartesian
1.402 0.000 2.591
0.000 2.526 2.591
0.000 0.000 0.000
1.402 2.526 0.000

=====

# 6
KInTc (GGA-PBEsol, relaxed); E above lowest polymorph = 0.0000 eV/atom; energy of formation from the pure elements = 0.85 eV/atom; total magnetization = 0.01 μB per cell; calculated total energy = -4.2801 eV/atom
1.0
-2.157 1.555 1.342
0.501 -2.831 0.780
5.353 2.516 5.691
In K Tc
1 1 1
Cartesian
0.177 0.083 0.189
2.246 1.746 4.894
1.274 -0.589 2.731